[1]
A plane-wave DFT calculation with PBE-GGA was carried out for an optimized crystal structure of NaCaLaBr6.

Results
energy relative to the elements, uncorrected = -1.90 eV per atom
uncorrected energy = -70.75 eV for the cell shown

a = 7.5067 Å, b = 7.5067 Å, c = 13.2972 Å
α = 90.00°, β = 90.00°, γ = 120.00°
Space group P-31c (No. 163)
One atom of each set of equivalent atoms:
Na1 0.0000 0.0000 0.0000 (multiplicity 2)
Ca1 0.3333 0.6667 0.2500 (multiplicity 2)
La1 0.3333 0.6667 0.7500 (multiplicity 2)
Br1 0.0040 0.3498 0.1280 (multiplicity 12)

=====

[2]
A plane-wave DFT calculation with PBE-GGA was carried out for an optimized crystal structure of Ca2LaPbBr.

Results
energy relative to the elements, uncorrected = -0.31 eV per atom
uncorrected energy = -15.88 eV for the cell shown

a = 5.434 Å, b = 5.434 Å, c = 6.343 Å
α = 90.00°, β = 90.00°, γ = 90.00°
Space group P4/mmm (No. 123)
One atom of each set of equivalent atoms:
Ca1 0.000 0.500 0.000 (multiplicity 2)
La1 0.000 0.000 0.500 (multiplicity 1)
Pb1 0.500 0.500 0.500 (multiplicity 1)
Br1 0.500 0.500 0.000 (multiplicity 1)

=====

[3]
A plane-wave DFT calculation with PBE-GGA was carried out for an optimized crystal structure of CaLaPtBr.

Results
energy relative to the elements, uncorrected = -1.30 eV per atom
uncorrected energy = -59.56 eV for the cell shown

a = 4.1854 Å, b = 4.1854 Å, c = 23.7072 Å
α = 90.00°, β = 90.00°, γ = 120.00°
Space group R3m (No. 160, hexagonal axes)
One atom of each set of equivalent atoms:
Ca1 0.0000 0.0000 0.0000 (multiplicity 3)
La1 0.0000 0.0000 0.1989 (multiplicity 3)
Pt1 0.0000 0.0000 0.5966 (multiplicity 3)
Br1 0.0000 0.0000 0.4288 (multiplicity 3)

=====

[4]
A plane-wave DFT calculation with PBE-GGA was carried out for an optimized crystal structure of CaLaSeBr2.

Results
energy relative to the lowest polymorph listed for this composition = 0.252 kcal/mol of atoms
energy relative to the elements, uncorrected = -1.32 eV per atom
uncorrected energy = -20.34 eV for the cell shown

a = 5.387 Å, b = 5.387 Å, c = 5.628 Å
α = 90.00°, β = 90.00°, γ = 90.00°
Space group P4/mmm (No. 123)
One atom of each set of equivalent atoms:
Ca1 0.000 0.000 0.000 (multiplicity 1)
La1 0.500 0.500 0.500 (multiplicity 1)
Se1 0.000 0.000 0.500 (multiplicity 1)
Br1 0.000 0.500 0.000 (multiplicity 2)

=====

[5]
A plane-wave DFT calculation with PBE-GGA was carried out for an optimized crystal structure of CaLaSeBr2.

Results
energy relative to the lowest polymorph listed for this composition = 0.000 kcal/mol of atoms
energy relative to the elements, uncorrected = -1.33 eV per atom
uncorrected energy = -20.40 eV for the cell shown

a = 5.859 Å, b = 5.859 Å, c = 5.759 Å
α = 90.00°, β = 90.00°, γ = 90.00°
Space group P4/mmm (No. 123)
One atom of each set of equivalent atoms:
Ca1 0.000 0.000 0.000 (multiplicity 1)
La1 0.500 0.500 0.500 (multiplicity 1)
Se1 0.500 0.500 0.000 (multiplicity 1)
Br1 0.000 0.500 0.500 (multiplicity 2)

=====

[6]
A plane-wave DFT calculation with PBE-GGA was carried out for an optimized crystal structure of CaLa2Se2Br2.

Results
energy relative to the elements, uncorrected = -1.59 eV per atom
uncorrected energy = -66.56 eV for the cell shown

a = 5.508 Å, b = 5.508 Å, c = 15.426 Å
α = 90.00°, β = 90.00°, γ = 90.00°
Space group I4/mmm (No. 139)
One atom of each set of equivalent atoms:
Ca1 0.000 0.000 0.000 (multiplicity 2)
La1 0.000 0.000 0.395 (multiplicity 4)
Se1 0.000 0.500 0.000 (multiplicity 4)
Br1 0.000 0.000 0.193 (multiplicity 4)

=====

[7]
A plane-wave DFT calculation with PBE-GGA was carried out for an optimized crystal structure of CaLaSe2Br.

Results
energy relative to the lowest polymorph listed for this composition = 1.150 kcal/mol of atoms
energy relative to the elements, uncorrected = -1.32 eV per atom
uncorrected energy = -22.17 eV for the cell shown

a = 5.457 Å, b = 5.457 Å, c = 5.194 Å
α = 90.00°, β = 90.00°, γ = 90.00°
Space group P4/mmm (No. 123)
One atom of each set of equivalent atoms:
Ca1 0.000 0.000 0.000 (multiplicity 1)
La1 0.500 0.500 0.500 (multiplicity 1)
Se1 0.000 0.500 0.000 (multiplicity 2)
Br1 0.000 0.000 0.500 (multiplicity 1)

=====

[8]
A plane-wave DFT calculation with PBE-GGA was carried out for an optimized crystal structure of CaLaSe2Br.

Results
energy relative to the lowest polymorph listed for this composition = 0.000 kcal/mol of atoms
energy relative to the elements, uncorrected = -1.37 eV per atom
uncorrected energy = -22.42 eV for the cell shown

a = 5.765 Å, b = 5.765 Å, c = 5.650 Å
α = 90.00°, β = 90.00°, γ = 90.00°
Space group P4/mmm (No. 123)
One atom of each set of equivalent atoms:
Ca1 0.000 0.000 0.000 (multiplicity 1)
La1 0.500 0.500 0.500 (multiplicity 1)
Se1 0.000 0.500 0.500 (multiplicity 2)
Br1 0.500 0.500 0.000 (multiplicity 1)

=====

[9]
A plane-wave DFT calculation with PBE-GGA was carried out for an optimized crystal structure of CaLaTaBr2.

Results
energy relative to the elements, uncorrected = 0.44 eV per atom
uncorrected energy = -19.94 eV for the cell shown

a = 5.188 Å, b = 5.188 Å, c = 12.848 Å
α = 90.00°, β = 90.00°, γ = 90.00°
Space group P4/mmm (No. 123)
One atom of each set of equivalent atoms:
Ca1 0.000 0.000 0.000 (multiplicity 1)
La1 0.000 0.000 0.500 (multiplicity 1)
Ta1 0.500 0.500 0.500 (multiplicity 1)
Br1 0.000 0.500 0.000 (multiplicity 2)

=====

[10]
A plane-wave DFT calculation with PBE-GGA was carried out for an optimized crystal structure of CaLa2TiBr.

Results
energy relative to the elements, uncorrected = 0.23 eV per atom
uncorrected energy = -20.26 eV for the cell shown

a = 5.756 Å, b = 5.756 Å, c = 5.149 Å
α = 90.00°, β = 90.00°, γ = 90.00°
Space group P4/mmm (No. 123)
One atom of each set of equivalent atoms:
Ca1 0.000 0.000 0.000 (multiplicity 1)
La1 0.000 0.500 0.500 (multiplicity 2)
Ti1 0.500 0.500 0.500 (multiplicity 1)
Br1 0.500 0.500 0.000 (multiplicity 1)

=====

[11]
A plane-wave DFT calculation with PBE-GGA was carried out for an optimized crystal structure of CaLaTl2Br.

Results
energy relative to the elements, uncorrected = -0.14 eV per atom
uncorrected energy = -14.04 eV for the cell shown

a = 6.186 Å, b = 6.186 Å, c = 5.711 Å
α = 90.00°, β = 90.00°, γ = 90.00°
Space group P4/mmm (No. 123)
One atom of each set of equivalent atoms:
Ca1 0.000 0.000 0.000 (multiplicity 1)
La1 0.500 0.500 0.500 (multiplicity 1)
Tl1 0.000 0.500 0.500 (multiplicity 2)
Br1 0.500 0.500 0.000 (multiplicity 1)

=====

[12]
A plane-wave DFT calculation with PBE-GGA was carried out for an optimized crystal structure of LiCaBr2.

Results
energy relative to the lowest polymorph listed for this composition = 0.792 kcal/mol of atoms
energy relative to the elements, uncorrected = -1.30 eV per atom
uncorrected energy = -12.45 eV for the cell shown

a = 3.820 Å, b = 3.820 Å, c = 7.519 Å
α = 90.00°, β = 90.00°, γ = 90.00°
Space group P4mm (No. 99)
One atom of each set of equivalent atoms:
Li1 0.000 0.000 0.000 (multiplicity 1)
Ca1 0.500 0.500 0.591 (multiplicity 1)
Br1 0.000 0.000 0.381 (multiplicity 1)
Br2 0.500 0.500 0.984 (multiplicity 1)

=====

[13]
A plane-wave DFT calculation with PBE-GGA was carried out for an optimized crystal structure of Li2CaBr.

Results
energy relative to the lowest polymorph listed for this composition = 2.111 kcal/mol of atoms
energy relative to the elements, uncorrected = -0.54 eV per atom
uncorrected energy = -9.65 eV for the cell shown

a = 3.510 Å, b = 3.510 Å, c = 8.767 Å
α = 90.00°, β = 90.00°, γ = 90.00°
Space group P4/mmm (No. 123)
One atom of each set of equivalent atoms:
Li1 0.000 0.000 0.179 (multiplicity 2)
Ca1 0.500 0.500 0.500 (multiplicity 1)
Br1 0.500 0.500 0.000 (multiplicity 1)